LiV6O13 | GGA+U | relaxed

Unit cell a=3.728 b=11.412 c=12.135 alpha=110.44 beta=90.35 gamma=99.39
Site moments in Bohr magnetons follow the coordinates.
Fractional positions:
O 0.854 0.709 0.970  -0.10
V 0.568 0.128 0.770  0.99
O 0.436 0.887 0.068  -0.06
Li 0.809 0.634 0.235  0.00
V 0.574 0.144 0.483  0.23
O 0.245 0.493 0.928  -0.02
V 0.426 0.856 0.517  0.23
O 0.961 0.918 0.894  -0.05
O 0.145 0.305 0.321  -0.11
O 0.452 0.900 0.697  -0.02
V 0.922 0.895 0.040  1.07
O 0.752 0.501 0.430  -0.06
O 0.265 0.505 0.246  -0.06
V 0.221 0.494 0.389  1.07
O 0.658 0.303 0.548  -0.04
V 0.432 0.872 0.230  0.99
O 0.755 0.507 0.072  -0.02
O 0.855 0.695 0.679  -0.11
V 0.228 0.451 0.076  1.09
O 0.063 0.125 0.441  -0.02
O 0.353 0.714 0.196  -0.09
O 0.248 0.499 0.570  -0.06
O 0.342 0.697 0.452  -0.04
O 0.548 0.100 0.303  -0.02
V 0.069 0.144 0.283  1.10
O 0.545 0.086 0.600  -0.07
O 0.039 0.082 0.106  -0.05
V 0.772 0.549 0.924  1.09
O 0.647 0.286 0.804  -0.09
V 0.078 0.105 0.960  1.07
O 0.735 0.495 0.754  -0.06
V 0.931 0.856 0.717  1.10
O 0.954 0.917 0.216  -0.01
O 0.937 0.875 0.559  -0.02
V 0.779 0.506 0.611  1.07
O 0.455 0.914 0.400  -0.07
Li 0.191 0.366 0.765  0.00
O 0.564 0.113 0.932  -0.06
O 0.146 0.291 0.030  -0.10
O 0.046 0.083 0.784  -0.01

Total magnetic moment in Bohr magnetons per cell: 10.00
Space group: No. 2
Raw total energy in eV per atom: -7.50


Li3V3O8 | GGA+U | relaxed

Unit cell a=5.908 b=5.908 c=5.908 alpha=89.10 beta=59.98 gamma=118.95
Site moments in Bohr magnetons follow the coordinates.
Fractional positions:
Li 0.248 0.747 0.005  0.00
O 0.744 0.000 0.256  -0.01
Li 0.752 0.747 0.502  0.00
O 0.232 0.478 0.754  -0.01
O 0.216 0.501 0.283  -0.01
O 0.784 0.501 0.714  -0.01
O 0.246 0.976 0.270  -0.08
V 0.765 0.289 0.476  1.05
Li 0.500 0.380 0.120  0.00
V 0.235 0.759 0.476  1.05
V 0.000 0.124 0.876  0.06
O 0.768 0.014 0.754  -0.01
O 0.754 0.483 0.270  -0.08
O 0.256 0.000 0.743  -0.01

Total magnetic moment in Bohr magnetons per cell: 2.00
Space group: No. 44
Raw total energy in eV per atom: -6.85


Li3V5O10 | GGA+U | relaxed

Unit cell a=5.173 b=5.193 c=7.865 alpha=74.46 beta=73.44 gamma=76.65
Site moments in Bohr magnetons follow the coordinates.
Fractional positions:
Li 0.524 0.805 0.390  0.00
O 0.214 0.323 0.059  -0.02
Li 0.476 0.195 0.610  0.00
O 0.777 0.043 0.141  0.00
V 0.500 0.000 0.000  1.91
O 0.741 0.197 0.773  -0.03
O 0.210 0.106 0.481  -0.01
V 0.981 0.120 0.312  1.08
V 0.963 0.308 0.901  1.89
O 0.259 0.803 0.227  -0.03
V 0.037 0.692 0.099  1.89
O 0.786 0.677 0.941  -0.02
O 0.809 0.457 0.330  -0.06
O 0.790 0.894 0.519  -0.01
Li 0.000 0.500 0.500  0.00
V 0.019 0.880 0.688  1.08
O 0.223 0.957 0.859  0.00
O 0.191 0.543 0.670  -0.06

Total magnetic moment in Bohr magnetons per cell: 8.00
Space group: No. 2
Raw total energy in eV per atom: -7.20


Li4V5O10 | GGA+U | relaxed

Unit cell a=5.152 b=5.241 c=7.859 alpha=71.25 beta=71.67 gamma=80.27
Site moments in Bohr magnetons follow the coordinates.
Fractional positions:
Li 0.493 0.386 0.220  0.00
V 0.503 0.002 0.995  1.92
O 0.763 0.054 0.140  0.00
V 0.994 0.318 0.889  1.90
V 0.990 0.096 0.317  1.10
Li 0.980 0.491 0.511  0.00
V 0.007 0.692 0.108  1.91
O 0.781 0.673 0.948  0.00
O 0.235 0.965 0.863  -0.01
O 0.250 0.780 0.234  -0.01
O 0.217 0.320 0.069  -0.01
O 0.211 0.548 0.658  -0.02
Li 0.494 0.227 0.597  0.00
O 0.779 0.445 0.336  -0.01
O 0.234 0.135 0.452  -0.01
O 0.778 0.880 0.519  -0.06
V 0.022 0.897 0.690  1.87
Li 0.496 0.771 0.421  0.00
O 0.762 0.211 0.763  -0.02

Total magnetic moment in Bohr magnetons per cell: 9.00
Space group: No. 1
Raw total energy in eV per atom: -7.04


Li2V3O8 | GGA+U | relaxed

Unit cell a=8.894 b=8.894 c=5.549 alpha=90.00 beta=90.00 gamma=90.00
Site moments in Bohr magnetons follow the coordinates.
Fractional positions:
O 0.000 0.500 0.472  0.00
O 0.585 0.299 0.643  -0.01
V 0.356 0.856 0.473  0.05
O 0.415 0.701 0.643  -0.01
O 0.915 0.799 0.643  -0.01
Li 0.250 0.750 0.886  0.00
O 0.808 0.692 0.195  0.00
Li 0.750 0.250 0.886  0.00
O 0.308 0.808 0.195  0.00
O 0.201 0.915 0.643  -0.01
V 0.144 0.356 0.473  0.05
O 0.799 0.085 0.643  -0.01
V 0.644 0.144 0.473  0.05
O 0.692 0.192 0.195  0.00
O 0.299 0.415 0.643  -0.01
V 0.000 0.000 0.545  1.04
O 0.701 0.585 0.643  -0.01
Li 0.750 0.750 0.886  0.00
V 0.500 0.500 0.545  1.04
O 0.085 0.201 0.643  -0.01
O 0.192 0.308 0.195  0.00
O 0.500 0.000 0.472  0.00
Li 0.250 0.250 0.886  0.00
O 0.000 0.000 0.252  -0.12
V 0.856 0.644 0.473  0.05
O 0.500 0.500 0.252  -0.12

Fermi-level density of states in states/eV/cell: 0.00
Total magnetic moment in Bohr magnetons per cell: 2.00
Space group: No. 100
Raw total energy in eV per atom: -6.99


Li8VO6 | GGA+U | relaxed

Unit cell a=5.908 b=5.908 c=5.908 alpha=54.47 beta=54.47 gamma=54.47
Site moments in Bohr magnetons follow the coordinates.
Fractional positions:
O 0.912 0.230 0.624  -0.03
O 0.230 0.624 0.912  -0.03
O 0.624 0.912 0.230  -0.03
O 0.376 0.088 0.770  -0.03
Li 0.898 0.511 0.236  0.00
Li 0.660 0.660 0.660  0.00
Li 0.764 0.102 0.489  0.00
Li 0.489 0.764 0.102  0.00
O 0.088 0.770 0.376  -0.03
Li 0.236 0.898 0.511  0.00
Li 0.511 0.236 0.898  0.00
Li 0.102 0.489 0.764  0.00
Li 0.340 0.340 0.340  0.00
V 0.000 0.000 0.000  1.11
O 0.770 0.376 0.088  -0.03

Fermi-level density of states in states/eV/cell: 5.81
Total magnetic moment in Bohr magnetons per cell: 1.00
Space group: No. 148
Raw total energy in eV per atom: -5.40


Li4V3O8 | GGA+U | relaxed

Unit cell a=5.839 b=5.839 c=5.918 alpha=60.44 beta=60.44 gamma=60.00
Site moments in Bohr magnetons follow the coordinates.
Fractional positions:
Li 0.000 0.000 0.500  0.00
O 0.261 0.228 0.788  -0.03
O 0.277 0.739 0.212  -0.03
V 0.500 0.000 0.000  1.03
O 0.228 0.723 0.788  -0.03
Li 0.500 0.000 0.500  0.00
V 0.000 0.500 0.000  1.03
V 0.500 0.500 0.000  1.03
O 0.772 0.277 0.212  -0.03
O 0.254 0.254 0.237  0.01
Li 0.000 0.000 0.000  0.00
O 0.739 0.772 0.212  -0.03
O 0.723 0.261 0.788  -0.03
Li 0.000 0.500 0.500  0.00
O 0.746 0.746 0.763  0.01

Fermi-level density of states in states/eV/cell: 0.00
Total magnetic moment in Bohr magnetons per cell: 3.00
Space group: No. 148
Raw total energy in eV per atom: -6.68


Li3V5O8 | GGA+U | relaxed

Unit cell a=6.077 b=6.077 c=6.077 alpha=60.12 beta=60.11 gamma=60.11
Site moments in Bohr magnetons follow the coordinates.
Fractional positions:
V 0.500 0.500 0.000  1.98
O 0.750 0.269 0.750  0.01
V 0.000 0.000 0.000  2.60
O 0.750 0.750 0.269  0.01
V 0.500 0.000 0.500  1.98
O 0.731 0.250 0.250  0.01
V 0.000 0.500 0.500  1.98
O 0.744 0.744 0.744  0.02
Li 0.500 0.000 0.000  -0.01
O 0.250 0.731 0.250  0.01
V 0.500 0.500 0.500  2.57
Li 0.000 0.500 0.000  -0.01
O 0.250 0.250 0.731  0.01
O 0.269 0.750 0.750  0.01
Li 0.000 0.000 0.500  -0.01
O 0.256 0.256 0.256  0.02

Total magnetic moment in Bohr magnetons per cell: 12.00
Space group: No. 166
Raw total energy in eV per atom: -7.15